Entry 1:
Material: Ba4CaRh
Method: DFT, GGA-PBE
State: relaxed

Geometry as POSCAR:
```
Ba4CaRh
1.0
0.000 5.131 5.131
5.131 0.000 5.131
5.131 5.131 0.000
Ba Ca Rh
4 1 1
Direct
0.123 0.123 0.123
0.123 0.123 0.631
0.123 0.631 0.123
0.631 0.123 0.123
0.500 0.500 0.500
0.750 0.750 0.750
```

Calculated values
Formation enthalpy at 0 K   0.709 eV/atom
Fermi-level density of states   11.500 states/eV/cell
SG   F-43m
M_tot   0.180 μB per atom

***

Entry 2:
Material: BaCa2Rh
Method: DFT, GGA-PBE
State: relaxed

Geometry as POSCAR:
```
BaCa2Rh
1.0
0.000 3.922 3.922
3.922 0.000 3.922
3.922 3.922 0.000
Ba Ca Rh
1 2 1
Direct
0.000 0.000 0.000
0.500 0.500 0.500
0.750 0.750 0.750
0.250 0.250 0.250
```

Calculated values
Formation enthalpy at 0 K   0.125 eV/atom
Fermi-level density of states   4.364 states/eV/cell
SG   F-43m
M_tot   0.000 μB per atom
ΔE to the lowest computed polymorph   382 meV/atom

***

Entry 3:
Material: BaCa2Rh
Method: DFT, GGA-PBE
State: relaxed

Geometry as POSCAR:
```
BaCa2Rh
1.0
2.130 -6.618 0.000
2.130 6.618 0.000
0.000 0.000 9.649
Ba Ca Rh
2 4 2
Direct
0.074 0.926 0.750
0.926 0.074 0.250
0.341 0.659 0.571
0.341 0.659 0.929
0.659 0.341 0.071
0.659 0.341 0.429
0.247 0.753 0.250
0.753 0.247 0.750
```

Calculated values
Formation enthalpy at 0 K   -0.258 eV/atom
Fermi-level density of states   5.188 states/eV/cell
SG   Cmcm
M_tot   0.000 μB per atom
ΔE to the lowest computed polymorph   0 meV/atom

***

Entry 4:
Material: BaCa2ScRh
Method: DFT, GGA-PBE
State: relaxed

Geometry as POSCAR:
```
BaCa2ScRh
1.0
5.752 0.000 0.000
0.000 5.752 0.000
0.000 0.000 5.103
Ba Ca Sc Rh
1 2 1 1
Direct
0.000 0.000 0.000
0.000 0.500 0.500
0.500 0.000 0.500
0.500 0.500 0.000
0.500 0.500 0.500
```

Calculated values
Formation enthalpy at 0 K   -0.218 eV/atom
Fermi-level density of states   5.344 states/eV/cell
SG   P4/mmm
M_tot   0.000 μB per atom

***

Entry 5:
Material: BaCa2SnRh
Method: DFT, GGA-PBE
State: relaxed

Geometry as POSCAR:
```
BaCa2SnRh
1.0
5.513 0.000 0.000
0.000 5.513 0.000
0.000 0.000 5.291
Ba Ca Sn Rh
1 2 1 1
Direct
0.000 0.000 0.000
0.000 0.500 0.500
0.500 0.000 0.500
0.500 0.500 0.000
0.500 0.500 0.500
```

Calculated values
Formation enthalpy at 0 K   -0.438 eV/atom
Fermi-level density of states   2.747 states/eV/cell
SG   P4/mmm
M_tot   0.000 μB per atom

***

Entry 6:
Material: BaSrCa2Rh
Method: DFT, GGA-PBE
State: relaxed

Geometry as POSCAR:
```
BaSrCa2Rh
1.0
5.744 0.000 0.000
0.000 5.744 0.000
0.000 0.000 6.067
Ba Sr Ca Rh
1 1 2 1
Direct
0.000 0.000 0.000
0.500 0.500 0.000
0.000 0.500 0.500
0.500 0.000 0.500
0.000 0.000 0.500
```

Calculated values
Formation enthalpy at 0 K   -0.161 eV/atom
Fermi-level density of states   4.590 states/eV/cell
SG   P4/mmm
M_tot   0.000 μB per atom
ΔE to the lowest computed polymorph   23 meV/atom

***

What is the Fermi-level density of states in the third record?
5.188 states/eV/cell

***

Number 3 is which compound?
BaCa2Rh

***

Among the records above, which one has the highest M_tot?
Ba4CaRh

***

The lowest Fermi-level density of states belongs to which entry?
BaCa2SnRh